Density functional theory data (PBE-GGA) for an optimized crystal structure of BaTaRe2Sb.

Output
Crystal system: tetragonal
Formation energy (no corrections): 1.664 eV/atom
D(E_F): 4.24 states/eV/cell

Cell lengths 4.851, 5.879, 4.851 Å; angles 90.00, 90.00, 90.00 degrees
Element x y z (fractional)
Re: 0.000 0.000 0.500
Re: 0.500 0.000 0.000
Ba: 0.000 0.500 0.000
Sb: 0.500 0.500 0.500
Ta: 0.000 0.000 0.000